1.
A plane-wave DFT calculation with PBE was carried out for SrAgF3 after structural relaxation.

Output
- Formation energy from raw total energies: -2.452 eV per atom
- VASP energy: -0.32937 Ry/atom

Unit cell a=4.706 b=4.706 c=4.706 alpha=90.00 beta=90.00 gamma=90.00
Space group Pm-3m (No. 221)
Asymmetric unit:
Sr 0.000 0.000 0.000
Ag 0.500 0.500 0.500
F 0.000 0.000 0.500

2.
A plane-wave DFT calculation with PBE was carried out for NaLiTeO4 after structural relaxation.

Output
- Formation energy from raw total energies: -1.399 eV per atom
- VASP energy: -0.37797 Ry/atom

Unit cell a=5.290 b=5.290 c=7.869 alpha=90.00 beta=90.00 gamma=90.00
Space group I-4 (No. 82)
Asymmetric unit:
Na 0.000 0.000 0.000
Li 0.000 0.500 0.750
Te 0.000 0.000 0.500
O 0.174 0.234 0.629

3.
A plane-wave DFT calculation with PBE was carried out for Nd2Dy2Sc after structural relaxation.

Output
- Calculated formation energy: 0.13 eV per atom
- VASP energy: -0.35912 Ry/atom

Unit cell a=9.268 b=8.546 c=9.244 alpha=90.00 beta=119.68 gamma=90.00
Space group C2/c (No. 15)
Asymmetric unit:
Nd 0.112 0.181 0.156
Dy 0.165 0.470 0.457
Sc 0.000 0.179 0.750

4.
A plane-wave DFT calculation with PBE was carried out for Cd3ReMo after structural relaxation.

Output
- Calculated formation energy: 1.75 eV per atom
- VASP energy: -0.25421 Ry/atom

Unit cell a=5.203 b=5.203 c=5.203 alpha=90.00 beta=90.00 gamma=90.00
Space group Pm-3m (No. 221)
Asymmetric unit:
Cd 0.000 0.000 0.500
Re 0.000 0.000 0.000
Mo 0.500 0.500 0.500

5.
A plane-wave DFT calculation with PBE was carried out for U2NiP4Ir3 after structural relaxation.

Output
- Calculated formation energy: -0.72 eV per atom
- VASP energy: -0.61558 Ry/atom

Unit cell a=4.140 b=4.140 c=9.364 alpha=90.00 beta=90.00 gamma=90.00
Space group P-4m2 (No. 115)
Asymmetric unit:
U 0.000 0.500 0.248
Ni 0.000 0.000 0.500
P 0.000 0.000 0.000
P 0.000 0.500 0.631
P 0.500 0.500 0.000
Ir 0.000 0.500 0.883
Ir 0.500 0.500 0.500

6.
A plane-wave DFT calculation with PBE was carried out for TlGaAsSe2 after structural relaxation.

Output
- Formation energy from raw total energies: 0.647 eV per atom
- VASP energy: -0.20255 Ry/atom

Unit cell a=5.495 b=5.495 c=5.345 alpha=90.00 beta=90.00 gamma=90.00
Space group P4/mmm (No. 123)
Asymmetric unit:
Tl 0.000 0.000 0.000
Ga 0.500 0.500 0.500
As 0.000 0.000 0.500
Se 0.000 0.500 0.000

7.
A plane-wave DFT calculation with PBE was carried out for NiI3Br after structural relaxation.

Output
- Formation energy from raw total energies: 0.240 eV per atom
- VASP energy: -0.16032 Ry/atom

Unit cell a=5.286 b=5.286 c=5.286 alpha=90.00 beta=90.00 gamma=90.00
Space group Pm-3m (No. 221)
Asymmetric unit:
Ni 0.000 0.000 0.000
I 0.000 0.000 0.500
Br 0.500 0.500 0.500

8.
A plane-wave DFT calculation with PBE was carried out for Rb2GaHg2 after structural relaxation.

Output
- Calculated formation energy: -0.06 eV per atom
- VASP energy: -0.08620 Ry/atom

Unit cell a=7.993 b=7.993 c=5.765 alpha=90.00 beta=90.00 gamma=90.00
Space group P4/mbm (No. 127)
Asymmetric unit:
Rb 0.174 0.326 0.000
Ga 0.000 0.000 0.500
Hg 0.144 0.644 0.500

9.
A plane-wave DFT calculation with PBE was carried out for CrSiN3 after structural relaxation.

Output
- Formation energy from raw total energies: 0.475 eV per atom
- VASP energy: -0.55342 Ry/atom

Unit cell a=3.553 b=3.553 c=3.553 alpha=90.00 beta=90.00 gamma=90.00
Space group Pm-3m (No. 221)
Asymmetric unit:
Cr 0.000 0.000 0.000
Si 0.500 0.500 0.500
N 0.000 0.500 0.500

10.
A plane-wave DFT calculation with PBE was carried out for CaBN after structural relaxation.

Output
- Formation energy from raw total energies: -0.671 eV per atom
- VASP energy: -0.46591 Ry/atom

Unit cell a=2.774 b=6.492 c=7.257 alpha=90.00 beta=90.00 gamma=90.00
Space group Immm (No. 71)
Asymmetric unit:
Ca 0.000 0.000 0.207
B 0.000 0.371 0.000
N 0.000 0.250 0.500

11.
A plane-wave DFT calculation with PBE was carried out for Cd2Sn2Br after structural relaxation.

Output
- Formation energy from raw total energies: -0.045 eV per atom
- VASP energy: -0.17252 Ry/atom

Unit cell a=8.479 b=8.479 c=3.885 alpha=90.00 beta=90.00 gamma=90.00
Space group P4/mbm (No. 127)
Asymmetric unit:
Cd 0.174 0.326 0.000
Sn 0.129 0.629 0.500
Br 0.000 0.000 0.500

12.
A plane-wave DFT calculation with PBE was carried out for Ru3Se after structural relaxation.

Output
- Formation energy from raw total energies: 0.314 eV per atom
- VASP energy: -0.55227 Ry/atom

Unit cell a=2.8449 b=2.8449 c=24.9920 alpha=90.00 beta=90.00 gamma=120.00
Space group R-3m (No. 166, hexagonal axes)
Asymmetric unit:
Ru 0.0000 0.0000 0.0000
Ru 0.0000 0.0000 0.2478
Se 0.0000 0.0000 0.5000

Which formula does entry 7 have?
NiI3Br

Which of these has the lowest VASP energy?
U2NiP4Ir3

Please write out number 10 again, unchanged.
A plane-wave DFT calculation with PBE was carried out for CaBN after structural relaxation.

Output
- Formation energy from raw total energies: -0.671 eV per atom
- VASP energy: -0.46591 Ry/atom

Unit cell a=2.774 b=6.492 c=7.257 alpha=90.00 beta=90.00 gamma=90.00
Space group Immm (No. 71)
Asymmetric unit:
Ca 0.000 0.000 0.207
B 0.000 0.371 0.000
N 0.000 0.250 0.500